12
Lattice="3.754 -6.505 0.000 3.754 6.505 0.000 -2.505 0.000 7.208" Properties=species:S:1:pos:R:3 comment="Sr3TbTh2As6 (GGA-PBE, relaxed)" volume_a3_per_cell=352 formation_energy_ev_per_fu=-15.61 pbc="T T T"
Sr 0.000 0.000 0.000
Sr 3.754 2.167 0.000
Sr 3.754 -2.167 0.000
Tb 2.502 0.000 3.604
Th 2.502 4.338 3.604
Th 2.502 -4.338 3.604
As 1.256 2.161 1.972
As 0.007 0.000 5.238
As 1.256 -2.161 1.972
As 3.748 2.161 5.236
As 4.997 0.000 1.970
As 3.748 -2.161 5.236

8
Lattice="7.349 0.000 0.000 0.000 4.251 0.000 -2.411 0.000 6.948" Properties=species:S:1:pos:R:3 comment="SrTb2ThAs4 (GGA-PBE, relaxed)" volume_a3_per_cell=217 formation_energy_ev_per_fu=-11.29 pbc="T T T"
Sr 0.000 0.000 0.000
Tb 2.469 0.000 3.474
Tb 3.675 2.125 0.000
Th -1.206 2.125 3.474
As 0.099 0.000 5.184
As 1.297 2.125 1.835
As 3.641 2.125 5.113
As 4.839 0.000 1.764

8
Lattice="7.381 0.000 0.000 0.000 4.278 0.000 -2.473 0.000 7.010" Properties=species:S:1:pos:R:3 comment="SrTbTh2As4 (GGA-PBE, relaxed)" volume_a3_per_cell=221 formation_energy_ev_per_fu=-11.21 pbc="T T T"
Sr 0.000 0.000 0.000
Tb -1.236 2.139 3.505
Th 2.454 0.000 3.505
Th 3.690 2.139 0.000
As 0.018 0.000 5.214
As 1.275 2.139 1.827
As 3.633 2.139 5.183
As 4.890 0.000 1.796

8
Lattice="7.461 0.000 0.000 0.000 4.331 0.000 -2.507 0.000 7.203" Properties=species:S:1:pos:R:3 comment="Sr2TbThAs4 (GGA-PBE, relaxed)" volume_a3_per_cell=233 formation_energy_ev_per_fu=-10.16 pbc="T T T"
Sr 0.000 0.000 0.000
Sr 3.731 2.166 0.000
Tb -1.253 2.166 3.602
Th 2.477 0.000 3.602
As -0.031 0.000 5.223
As 1.223 2.166 1.969
As 3.731 2.166 5.234
As 4.985 0.000 1.981

12
Lattice="3.685 -6.383 0.000 3.685 6.383 0.000 -2.456 0.000 7.119" Properties=species:S:1:pos:R:3 comment="Sr3TbU2As6 (GGA-PBE, relaxed)" volume_a3_per_cell=335 formation_energy_ev_per_fu=-13.11 pbc="T T T"
Sr 0.000 0.000 0.000
Sr 3.685 2.101 0.000
Sr 3.685 -2.101 0.000
Tb 2.457 0.000 3.560
U 2.457 4.250 3.560
U 2.457 -4.250 3.560
As 1.195 2.183 2.017
As -0.063 0.000 5.103
As 1.195 -2.183 2.017
As 3.720 2.183 5.103
As 4.978 0.000 2.017
As 3.720 -2.183 5.103

15
Lattice="4.185 2.416 7.149 -4.185 2.416 7.149 0.000 -4.832 7.149" Properties=species:S:1:pos:R:3 comment="Sr3TbU3As8 (GGA-PBE, relaxed)" volume_a3_per_cell=434 formation_energy_ev_per_fu=-13.11 pbc="T T T"
Sr -2.092 -1.208 7.149
Sr -2.092 1.208 14.299
Sr 0.000 2.416 7.149
Tb 0.000 0.000 10.724
U -4.185 0.000 10.724
U -2.092 1.208 3.575
U 2.092 1.208 3.575
As -2.187 -1.263 12.246
As 0.000 0.000 5.125
As 0.000 -2.526 9.202
As -2.187 1.263 9.202
As 2.187 -1.263 12.246
As 0.000 2.526 12.246
As 0.000 0.000 16.324
As 2.187 1.263 9.202